Record 1
This record from the Alexandria database describes an optimized crystal structure of AlGeS2. The functional is PBE.

raw total energy	-4.19	eV/atom
energy relative to the elements, uncorrected	-41	meV/atom

Cell lengths 3.5194, 3.5194, 23.1083 Å; angles 90.00, 90.00, 120.00 degrees
Closest atoms and distances in Å follow each position.
Space group R-3m (No. 166, hexagonal axes)
Symmetry-distinct sites (fractional):
Al  0.0000  0.0000  0.0000 x3  2 S 2.36
Ge  0.0000  0.0000  0.5000 x3  6 S 2.52
S  0.0000  0.0000  0.1021 x6  1 Al 2.36, 3 Ge 2.52

Record 2
This record from the Alexandria database describes an optimized crystal structure of Al2GeS5. The functional is PBE.

raw total energy	-4.67	eV/atom
energy relative to the elements, uncorrected	-577	meV/atom

Cell lengths 4.9201, 11.8236, 11.2849 Å; angles 90.00, 90.00, 90.00 degrees
Closest atoms and distances in Å follow each position.
Space group Cmcm (No. 63)
Symmetry-distinct sites (fractional):
Al  0.0000  0.1508  0.0619 x8  6 S 2.31-2.49
Ge  0.0000  0.1928  0.7500 x4  6 S 2.32-2.55
S  0.0000  0.0474  0.6115 x8  2 Al 2.31-2.41, 1 Ge 2.32
S  0.0000  0.2506  0.2500 x4  2 Al 2.43, 2 Ge 2.55
S  0.0000  0.3170  0.5723 x8  3 Al 2.48-2.49, 1 Ge 2.49